Record 1
BaPtO: relaxed, PBE. Values from VASP.

Calculated values
The total magnetization is 0.00 μB/atom. Its space group is No. 8.

```
&SYSTEM
  ibrav = 0, nat = 6, ntyp = 3
/
ATOMIC_SPECIES
Ba 137.33 Ba.upf
Pt 195.08 Pt.upf
O 16.00 O.upf
ATOMIC_POSITIONS crystal
Ba 0.000 0.000 0.000
Ba 0.693 0.693 0.548
Pt 0.295 0.295 0.994
Pt 0.370 0.370 0.553
O 0.214 0.214 0.310
O 0.525 0.525 0.765
CELL_PARAMETERS angstrom
6.160 -2.322 0.000
6.160 2.322 0.000
-0.894 0.000 5.096
```

Record 2
BaPtO: relaxed, PBE. Values from VASP.

Calculated values
The total magnetization is 0.00 μB/atom. Its space group is No. 4.

```
&SYSTEM
  ibrav = 0, nat = 6, ntyp = 3
/
ATOMIC_SPECIES
Ba 137.33 Ba.upf
Pt 195.08 Pt.upf
O 16.00 O.upf
ATOMIC_POSITIONS crystal
Ba 0.154 0.000 0.307
Ba 0.846 0.500 0.693
Pt 0.457 0.001 0.915
Pt 0.543 0.501 0.085
O 0.323 0.997 0.648
O 0.677 0.497 0.352
CELL_PARAMETERS angstrom
4.135 0.000 0.000
0.000 4.182 0.000
-2.064 0.000 7.715
```

Record 3
Ba3Pt2O6: relaxed, PBE. Values from VASP.

Calculated values
The total magnetization is 0.00 μB/atom. Its space group is No. 71.

```
&SYSTEM
  ibrav = 0, nat = 11, ntyp = 3
/
ATOMIC_SPECIES
Ba 137.33 Ba.upf
Pt 195.08 Pt.upf
O 16.00 O.upf
ATOMIC_POSITIONS crystal
Ba 0.000 0.000 0.000
Ba 0.181 0.181 0.000
Ba 0.819 0.819 0.000
Pt 0.402 0.402 0.000
Pt 0.598 0.598 0.000
O 0.092 0.592 0.500
O 0.304 0.304 0.000
O 0.420 0.920 0.500
O 0.580 0.080 0.500
O 0.696 0.696 0.000
O 0.908 0.408 0.500
CELL_PARAMETERS angstrom
-2.014 2.147 10.761
2.014 -2.147 10.761
2.014 2.147 -10.761
```

Formation energy (no corrections) readings, ordered: -1373; -1419; -1546 meV per atom